Entry 1:
Below is a relaxed structure of CsBaAcCl6, with properties calculated at the PBE level.

Structure (CIF):
```
data_CsBaAcCl6
_cell_length_a 8.0622
_cell_length_b 8.0622
_cell_length_c 14.1598
_cell_angle_alpha 90.00
_cell_angle_beta 90.00
_cell_angle_gamma 120.00
_symmetry_space_group_name_H-M 'P 1'
_symmetry_Int_Tables_number 1
loop_
_symmetry_equiv_pos_as_xyz
'x,y,z'
loop_
_atom_site_label
_atom_site_type_symbol
_atom_site_fract_x
_atom_site_fract_y
_atom_site_fract_z
_atom_site_occupancy
Cs1 Cs 0.0000 0.0000 0.0000 1
Cs2 Cs 0.0000 0.0000 0.5000 1
Ba1 Ba 0.3333 0.6667 0.2500 1
Ba2 Ba 0.6667 0.3333 0.7500 1
Ac1 Ac 0.3333 0.6667 0.7500 1
Ac2 Ac 0.6667 0.3333 0.2500 1
Cl1 Cl 0.0186 0.3795 0.6388 1
Cl2 Cl 0.0186 0.6391 0.8612 1
Cl3 Cl 0.3609 0.3795 0.8612 1
Cl4 Cl 0.3609 0.9814 0.6388 1
Cl5 Cl 0.3795 0.0186 0.1388 1
Cl6 Cl 0.3795 0.3609 0.3612 1
Cl7 Cl 0.6205 0.6391 0.6388 1
Cl8 Cl 0.6205 0.9814 0.8612 1
Cl9 Cl 0.6391 0.0186 0.3612 1
Cl10 Cl 0.6391 0.6205 0.1388 1
Cl11 Cl 0.9814 0.3609 0.1388 1
Cl12 Cl 0.9814 0.6205 0.3612 1
```

Output
Its symmetry is P-31c, No. 163. The calculation puts the raw formation energy at -2364 meV/atom.

Entry 2:
Below is a relaxed structure of TaNbGa, with properties calculated at the PBE level.

Structure (CIF):
```
data_TaNbGa
_cell_length_a 2.8089
_cell_length_b 4.7139
_cell_length_c 7.8875
_cell_angle_alpha 86.77
_cell_angle_beta 85.54
_cell_angle_gamma 89.86
_symmetry_space_group_name_H-M 'P 1'
_symmetry_Int_Tables_number 1
loop_
_symmetry_equiv_pos_as_xyz
'x,y,z'
loop_
_atom_site_label
_atom_site_type_symbol
_atom_site_fract_x
_atom_site_fract_y
_atom_site_fract_z
_atom_site_occupancy
Ta1 Ta 0.0117 0.2274 0.2733 1
Ta2 Ta 0.9883 0.7726 0.7267 1
Nb1 Nb 0.3321 0.7429 0.0815 1
Nb2 Nb 0.6679 0.2571 0.9185 1
Ga1 Ga 0.4304 0.2700 0.5966 1
Ga2 Ga 0.5696 0.7300 0.4034 1
```

Output
Its symmetry is P-1, No. 2. The polymorph energy (0 for the lowest one) is 0.23 eV/f.u. The formation enthalpy at 0 K is -119 meV/atom.

Entry 3:
Below is a relaxed structure of Ba2TaNi, with properties calculated at the PBE level.

Structure (CIF):
```
data_Ba2TaNi
_cell_length_a 8.6912
_cell_length_b 8.6912
_cell_length_c 8.6912
_cell_angle_alpha 94.18
_cell_angle_beta 94.18
_cell_angle_gamma 148.68
_symmetry_space_group_name_H-M 'P 1'
_symmetry_Int_Tables_number 1
loop_
_symmetry_equiv_pos_as_xyz
'x,y,z'
loop_
_atom_site_label
_atom_site_type_symbol
_atom_site_fract_x
_atom_site_fract_y
_atom_site_fract_z
_atom_site_occupancy
Ba1 Ba 0.3750 0.0451 0.1701 1
Ba2 Ba 0.7951 0.6250 0.6701 1
Ba3 Ba 0.8750 0.2049 0.8299 1
Ba4 Ba 0.9549 0.1250 0.3299 1
Ta1 Ta 0.2500 0.7500 0.5000 1
Ta2 Ta 0.5000 0.5000 0.0000 1
Ni1 Ni 0.0000 0.0000 0.0000 1
Ni2 Ni 0.7500 0.2500 0.5000 1
```

Output
Its symmetry is I-42d, No. 122. The polymorph energy (0 for the lowest one) is 1.47 eV/f.u. The formation enthalpy at 0 K is 795 meV/atom.

Entry 4:
Below is a relaxed structure of ZrCl2O, with properties calculated at the PBE level.

Structure (CIF):
```
data_ZrCl2O
_cell_length_a 10.4544
_cell_length_b 10.4544
_cell_length_c 10.4544
_cell_angle_alpha 19.40
_cell_angle_beta 19.40
_cell_angle_gamma 19.40
_symmetry_space_group_name_H-M 'P 1'
_symmetry_Int_Tables_number 1
loop_
_symmetry_equiv_pos_as_xyz
'x,y,z'
loop_
_atom_site_label
_atom_site_type_symbol
_atom_site_fract_x
_atom_site_fract_y
_atom_site_fract_z
_atom_site_occupancy
Zr1 Zr 0.0000 0.0000 0.0000 1
Cl1 Cl 0.0759 0.0759 0.0759 1
Cl2 Cl 0.9241 0.9241 0.9241 1
O1 O 0.5000 0.5000 0.5000 1
```

Output
Its symmetry is R-3m, No. 166. The calculation puts the raw formation energy at 49 meV/atom.

Entry 5:
Below is a relaxed structure of RbTe4Au2, with properties calculated at the PBE level.

Structure (CIF):
```
data_RbTe4Au2
_cell_length_a 6.5935
_cell_length_b 7.9007
_cell_length_c 11.5872
_cell_angle_alpha 87.27
_cell_angle_beta 75.21
_cell_angle_gamma 70.66
_symmetry_space_group_name_H-M 'P 1'
_symmetry_Int_Tables_number 1
loop_
_symmetry_equiv_pos_as_xyz
'x,y,z'
loop_
_atom_site_label
_atom_site_type_symbol
_atom_site_fract_x
_atom_site_fract_y
_atom_site_fract_z
_atom_site_occupancy
Rb1 Rb 0.0000 0.0000 0.0000 1
Rb2 Rb 0.4559 0.5844 0.5510 1
Te1 Te 0.0657 0.0523 0.3202 1
Te2 Te 0.1370 0.5289 0.1936 1
Te3 Te 0.2429 0.1153 0.6535 1
Te4 Te 0.4311 0.5054 0.9506 1
Te5 Te 0.5970 0.9649 0.7744 1
Te6 Te 0.6438 0.8775 0.2985 1
Te7 Te 0.6917 0.3662 0.2408 1
Te8 Te 0.8767 0.5414 0.7442 1
Au1 Au 0.2768 0.3463 0.8082 1
Au2 Au 0.3775 0.7129 0.2521 1
Au3 Au 0.3797 0.2090 0.2645 1
Au4 Au 0.7799 0.2305 0.7432 1
```

Output
Its symmetry is P1, No. 1. The calculation puts the raw formation energy at -260 meV/atom.

Entry 6:
Below is a relaxed structure of Pr6BiIr2Se3, with properties calculated at the PBE level.

Structure (CIF):
```
data_Pr6BiIr2Se3
_cell_length_a 9.7705
_cell_length_b 9.7705
_cell_length_c 8.8775
_cell_angle_alpha 105.10
_cell_angle_beta 105.10
_cell_angle_gamma 25.22
_symmetry_space_group_name_H-M 'P 1'
_symmetry_Int_Tables_number 1
loop_
_symmetry_equiv_pos_as_xyz
'x,y,z'
loop_
_atom_site_label
_atom_site_type_symbol
_atom_site_fract_x
_atom_site_fract_y
_atom_site_fract_z
_atom_site_occupancy
Pr1 Pr 0.0110 0.0110 0.2678 1
Pr2 Pr 0.3253 0.3253 0.4290 1
Pr3 Pr 0.3253 0.3253 0.8882 1
Pr4 Pr 0.6747 0.6747 0.1118 1
Pr5 Pr 0.6747 0.6747 0.5710 1
Pr6 Pr 0.9890 0.9890 0.7322 1
Bi1 Bi 0.5000 0.5000 0.0000 1
Ir1 Ir 0.1689 0.1689 0.3355 1
Ir2 Ir 0.8311 0.8311 0.6645 1
Se1 Se 0.1603 0.1603 0.8363 1
Se2 Se 0.5000 0.5000 0.5000 1
Se3 Se 0.8397 0.8397 0.1637 1
```

Output
Its symmetry is C2/m, No. 12. The calculation puts the raw formation energy at -1230 meV/atom.

Entry 7:
Below is a relaxed structure of CePuGeSe, with properties calculated at the PBE level.

Structure (CIF):
```
data_CePuGeSe
_cell_length_a 7.2060
_cell_length_b 7.2060
_cell_length_c 7.2060
_cell_angle_alpha 34.04
_cell_angle_beta 34.04
_cell_angle_gamma 34.04
_symmetry_space_group_name_H-M 'P 1'
_symmetry_Int_Tables_number 1
loop_
_symmetry_equiv_pos_as_xyz
'x,y,z'
loop_
_atom_site_label
_atom_site_type_symbol
_atom_site_fract_x
_atom_site_fract_y
_atom_site_fract_z
_atom_site_occupancy
Ce1 Ce 0.0000 0.0000 0.0000 1
Pu1 Pu 0.4978 0.4978 0.4978 1
Ge1 Ge 0.7488 0.7488 0.7488 1
Se1 Se 0.2461 0.2461 0.2461 1
```

Output
Its symmetry is R3m, No. 160. The calculation puts the raw formation energy at -1097 meV/atom.

Entry 8:
Below is a relaxed structure of KCeTe2, with properties calculated at the PBE level.

Structure (CIF):
```
data_KCeTe2
_cell_length_a 8.8236
_cell_length_b 8.8236
_cell_length_c 8.8236
_cell_angle_alpha 30.39
_cell_angle_beta 30.39
_cell_angle_gamma 30.39
_symmetry_space_group_name_H-M 'P 1'
_symmetry_Int_Tables_number 1
loop_
_symmetry_equiv_pos_as_xyz
'x,y,z'
loop_
_atom_site_label
_atom_site_type_symbol
_atom_site_fract_x
_atom_site_fract_y
_atom_site_fract_z
_atom_site_occupancy
K1 K 0.0000 0.0000 0.0000 1
Ce1 Ce 0.1694 0.1694 0.1694 1
Te1 Te 0.5733 0.5733 0.5733 1
Te2 Te 0.7650 0.7650 0.7650 1
```

Output
Its symmetry is R3m, No. 160. The calculation puts the raw formation energy at -1326 meV/atom.

| no. | total DFT energy (no corrections) (eV/atom) | spin magnetization (μB per formula unit) | mass density (kg/m³) |
| --- | --- | --- | --- |
| 1 | -4.36 | 0.00 | 2958 |
| 2 | -8.44 | 0.00 | 10976 |
| 3 | -4.57 | 2.03 | 5198 |
| 4 | -4.25 | 1.96 | 2684 |
| 5 | -3.13 | 0.00 | 5974 |
| 6 | -6.29 | 0.00 | 7996 |
| 7 | -8.19 | 5.85 | 8511 |
| 8 | -4.65 | 1.00 | 4630 |